DFT (GGA-PBE) results for crystalline Tm4TeAsPb2 at its relaxed geometry.

As for the total energy: -40.00 eV/cell. The calculation puts the mass density at 9.6 g cm⁻³.

The space group is P2/m (No. 10) and the conventional cell measures 7.155, 4.215 and 7.802 Å, with angles of 90.00, 108.31 and 90.00 degrees. The distinct sites, in fractional coordinates, are Tm at (0.229, 0.000, 0.227), Tm at (0.236, 0.500, 0.759), Te at (0.500, 0.000, 0.000), As at (0.000, 0.500, 0.000), Pb at (0.000, 0.000, 0.500) and Pb at (0.500, 0.500, 0.500).